Compound: NiPPbF2
Source: Alexandria
Functional: PBE with a Hubbard U
Structure: relaxed

The crystal system is tetragonal. As for the mass density: 5.29 g/cm³. The density of states at the Fermi level comes out at 1.63 states/eV per cell. As for the uncorrected energy: -18.55 eV per formula unit.

The structure belongs to space group P4/mmm (No. 123); the cell edges are 3.7842, 3.7842 and 7.3335 Å and the angles 90.00°, 90.00° and 90.00°. Symmetry generates all atoms from Ni at (0.0000, 0.0000, 0.0000), P at (0.5000, 0.5000, 0.5000), Pb at (0.0000, 0.0000, 0.5000) and F at (0.0000, 0.5000, 0.0000).